Entry 1:
# CoCuSN (PBE-GGA, optimized geometry)
data_CoCuSN
_chemical_formula_sum 'Co1 Cu1 S1 N1'
_space_group_name_H-M_alt 'P 1 m 1'
_space_group_IT_number 6
_cell_length_a 3.3855
_cell_length_b 3.3142
_cell_length_c 4.6106
_cell_angle_alpha 90.00
_cell_angle_beta 93.47
_cell_angle_gamma 90.00
loop_
_space_group_symop_operation_xyz
'x,y,z'
'x,-y,z'
loop_
_atom_site_label
_atom_site_type_symbol
_atom_site_fract_x
_atom_site_fract_y
_atom_site_fract_z
Co1 Co 0.0000 0.0000 0.0000
Cu1 Cu 0.4389 0.5000 0.3565
S1 S 0.9706 0.5000 0.6969
N1 N 0.5065 0.0000 0.1293
# Energy above the lowest structure with this stoichiometry ... 0.0 kJ per mole of atoms
# E ... -5.83 eV per atom
# M_tot ... 0.0 μB/f.u.
# DOS at the Fermi energy ... 2.24 states/eV per cell
# Uncorrected formation energy ... 87 meV per atom

***

Entry 2:
# CoCuSN (PBE-GGA, optimized geometry)
data_CoCuSN
_chemical_formula_sum 'Co2 Cu2 S2 N2'
_space_group_name_H-M_alt 'C 1 m 1'
_space_group_IT_number 8
_cell_length_a 5.8296
_cell_length_b 3.2753
_cell_length_c 5.6000
_cell_angle_alpha 90.00
_cell_angle_beta 104.19
_cell_angle_gamma 90.00
loop_
_space_group_symop_operation_xyz
'x,y,z'
'x,-y,z'
'x+1/2,y+1/2,z'
'x+1/2,-y+1/2,z'
loop_
_atom_site_label
_atom_site_type_symbol
_atom_site_fract_x
_atom_site_fract_y
_atom_site_fract_z
Co1 Co 0.0000 0.0000 0.0000
Cu1 Cu 0.0001 0.5000 0.6184
S1 S 0.3789 0.0000 0.1854
N1 N 0.3418 0.5000 0.6873
# Energy above the lowest structure with this stoichiometry ... 9.6 kJ per mole of atoms
# E ... -5.73 eV per atom
# M_tot ... 0.0 μB/f.u.
# DOS at the Fermi energy ... 5.71 states/eV per cell
# Uncorrected formation energy ... 187 meV per atom

***

Entry 3:
# CoCuSN2 (PBE-GGA, optimized geometry)
data_CoCuSN2
_chemical_formula_sum 'Co1 Cu1 S1 N2'
_space_group_name_H-M_alt 'P 4/m m m'
_space_group_IT_number 123
_space_group_name_Hall '-P 4 2'
_cell_length_a 3.4702
_cell_length_b 3.4702
_cell_length_c 5.5488
_cell_angle_alpha 90.00
_cell_angle_beta 90.00
_cell_angle_gamma 90.00
loop_
_atom_site_label
_atom_site_type_symbol
_atom_site_fract_x
_atom_site_fract_y
_atom_site_fract_z
Co1 Co 0.0000 0.0000 0.0000
Cu1 Cu 0.5000 0.5000 0.5000
S1 S 0.0000 0.0000 0.5000
N1 N 0.0000 0.5000 0.0000
# Energy above the lowest structure with this stoichiometry ... 0.0 kJ per mole of atoms
# E ... -5.41 eV per atom
# M_tot ... 0.8 μB/f.u.
# DOS at the Fermi energy ... 3.66 states/eV per cell
# Uncorrected formation energy ... 989 meV per atom